1.
First-principles (meta-GGA SCAN) data for a crystal of Cs2MnO4 relaxed with PBEsol, as listed in the Alexandria database.

Output
**Total magnetization**: 0.14 μB/atom
**Relative energy among the computed polymorphs**: 3.5 kJ per mole of atoms
**Formation energy without anion corrections**: -1.85 eV/atom

Cell and atoms, written as CIF:
```
data_Cs2MnO4
_cell_length_a 6.1350
_cell_length_b 11.4022
_cell_length_c 8.3073
_cell_angle_alpha 90.00
_cell_angle_beta 90.00
_cell_angle_gamma 90.00
_symmetry_space_group_name_H-M 'C m c 21'
_symmetry_Int_Tables_number 36
loop_
_symmetry_equiv_pos_as_xyz
'x,y,z'
'-x,-y,z+1/2'
'-x,y,z'
'x,-y,z+1/2'
'x+1/2,y+1/2,z'
'-x+1/2,-y+1/2,z+1/2'
'-x+1/2,y+1/2,z'
'x+1/2,-y+1/2,z+1/2'
loop_
_atom_site_label
_atom_site_type_symbol
_atom_site_fract_x
_atom_site_fract_y
_atom_site_fract_z
Cs1 Cs 0.0000 0.0306 0.0000
Cs2 Cs 0.0000 0.3462 0.8155
Mn1 Mn 0.0000 0.3321 0.2939
O1 O 0.0000 0.1874 0.3059
O2 O 0.0000 0.3920 0.4741
O3 O 0.2211 0.3754 0.1991
```

=====

2.
First-principles (meta-GGA SCAN) data for a crystal of MnGe relaxed with PBEsol, as listed in the Alexandria database.

Output
**Total magnetization**: 1.07 μB/atom
**ΔE_f**: -0.2131 eV per atom

Cell and atoms, written as CIF:
```
data_MnGe
_cell_length_a 4.6738
_cell_length_b 4.6738
_cell_length_c 4.6738
_cell_angle_alpha 90.00
_cell_angle_beta 90.00
_cell_angle_gamma 90.00
_symmetry_space_group_name_H-M 'P 21 3'
_symmetry_Int_Tables_number 198
_symmetry_space_group_name_Hall 'P 2ac 2ab 3'
loop_
_atom_site_label
_atom_site_type_symbol
_atom_site_fract_x
_atom_site_fract_y
_atom_site_fract_z
Mn1 Mn 0.1376 0.1376 0.1376
Ge1 Ge 0.1567 0.3433 0.6567
```

=====

3.
First-principles (meta-GGA SCAN) data for a crystal of K2LaIr relaxed with PBEsol, as listed in the Alexandria database.

Output
**Total magnetization**: 0.00 μB/atom
**ΔE_f**: 0.6657 eV per atom

Cell and atoms, written as CIF:
```
data_K2LaIr
_cell_length_a 4.7261
_cell_length_b 4.7261
_cell_length_c 5.6123
_cell_angle_alpha 90.00
_cell_angle_beta 90.00
_cell_angle_gamma 90.00
_symmetry_space_group_name_H-M 'P 4/m m m'
_symmetry_Int_Tables_number 123
_symmetry_space_group_name_Hall '-P 4 2'
loop_
_atom_site_label
_atom_site_type_symbol
_atom_site_fract_x
_atom_site_fract_y
_atom_site_fract_z
K1 K 0.0000 0.0000 0.2328
La1 La 0.5000 0.5000 0.5000
Ir1 Ir 0.5000 0.5000 0.0000
```

=====

4.
First-principles (meta-GGA SCAN) data for a crystal of LaMgAu2 relaxed with PBEsol, as listed in the Alexandria database.

Output
**Total magnetization**: 0.00 μB/atom
**ΔE_f**: -0.8926 eV per atom

Cell and atoms, written as CIF:
```
data_LaMgAu2
_cell_length_a 7.0776
_cell_length_b 7.0776
_cell_length_c 7.0776
_cell_angle_alpha 90.00
_cell_angle_beta 90.00
_cell_angle_gamma 90.00
_symmetry_space_group_name_H-M 'F m -3 m'
_symmetry_Int_Tables_number 225
_symmetry_space_group_name_Hall '-F 4 2 3'
loop_
_atom_site_label
_atom_site_type_symbol
_atom_site_fract_x
_atom_site_fract_y
_atom_site_fract_z
La1 La 0.0000 0.0000 0.0000
Mg1 Mg 0.0000 0.0000 0.5000
Au1 Au 0.2500 0.2500 0.2500
```

=====

5.
First-principles (meta-GGA SCAN) data for a crystal of SbN2ClF relaxed with PBEsol, as listed in the Alexandria database.

Output
**Total magnetization**: 0.66 μB/atom
**Formation energy without anion corrections**: 0.65 eV/atom

Cell and atoms, written as CIF:
```
data_SbN2ClF
_cell_length_a 4.1318
_cell_length_b 4.1318
_cell_length_c 4.1483
_cell_angle_alpha 90.00
_cell_angle_beta 90.00
_cell_angle_gamma 90.00
_symmetry_space_group_name_H-M 'P 4/m m m'
_symmetry_Int_Tables_number 123
_symmetry_space_group_name_Hall '-P 4 2'
loop_
_atom_site_label
_atom_site_type_symbol
_atom_site_fract_x
_atom_site_fract_y
_atom_site_fract_z
Sb1 Sb 0.0000 0.0000 0.0000
N1 N 0.0000 0.5000 0.0000
Cl1 Cl 0.5000 0.5000 0.5000
F1 F 0.0000 0.0000 0.5000
```

=====

6.
First-principles (meta-GGA SCAN) data for a crystal of InTe2W relaxed with PBEsol, as listed in the Alexandria database.

Output
**Total magnetization**: 0.00 μB/atom
**Formation energy without anion corrections**: 0.35 eV/atom

Cell and atoms, written as CIF:
```
data_InTe2W
_cell_length_a 3.1844
_cell_length_b 4.6319
_cell_length_c 14.5506
_cell_angle_alpha 90.00
_cell_angle_beta 90.00
_cell_angle_gamma 90.00
_symmetry_space_group_name_H-M 'A m m 2'
_symmetry_Int_Tables_number 38
loop_
_symmetry_equiv_pos_as_xyz
'x,y,z'
'-x,-y,z'
'-x,y,z'
'x,-y,z'
'x,y+1/2,z+1/2'
'-x,-y+1/2,z+1/2'
'-x,y+1/2,z+1/2'
'x,-y+1/2,z+1/2'
loop_
_atom_site_label
_atom_site_type_symbol
_atom_site_fract_x
_atom_site_fract_y
_atom_site_fract_z
In1 In 0.0000 0.0000 0.0000
Te1 Te 0.0000 0.0000 0.6703
Te2 Te 0.5000 0.0000 0.3389
W1 W 0.5000 0.0000 0.5240
```

=====

7.
First-principles (meta-GGA SCAN) data for a crystal of CaCl2 relaxed with PBEsol, as listed in the Alexandria database.

Output
**Total magnetization**: 0.00 μB/atom
**Formation energy without anion corrections**: -2.58 eV/atom

Cell and atoms, written as CIF:
```
data_CaCl2
_cell_length_a 3.7693
_cell_length_b 11.6482
_cell_length_c 6.4546
_cell_angle_alpha 90.00
_cell_angle_beta 90.00
_cell_angle_gamma 90.00
_symmetry_space_group_name_H-M 'C m c 21'
_symmetry_Int_Tables_number 36
loop_
_symmetry_equiv_pos_as_xyz
'x,y,z'
'-x,-y,z+1/2'
'-x,y,z'
'x,-y,z+1/2'
'x+1/2,y+1/2,z'
'-x+1/2,-y+1/2,z+1/2'
'-x+1/2,y+1/2,z'
'x+1/2,-y+1/2,z+1/2'
loop_
_atom_site_label
_atom_site_type_symbol
_atom_site_fract_x
_atom_site_fract_y
_atom_site_fract_z
Ca1 Ca 0.0000 0.1179 0.0000
Cl1 Cl 0.0000 0.2230 0.5845
Cl2 Cl 0.0000 0.4933 0.7748
```

=====

8.
First-principles (meta-GGA SCAN) data for a crystal of Zn2In2Sb relaxed with PBEsol, as listed in the Alexandria database.

Output
**Total magnetization**: 0.00 μB/atom
**Formation energy without anion corrections**: 0.13 eV/atom

Cell and atoms, written as CIF:
```
data_Zn2In2Sb
_cell_length_a 7.2537
_cell_length_b 7.2537
_cell_length_c 4.1455
_cell_angle_alpha 90.00
_cell_angle_beta 90.00
_cell_angle_gamma 90.00
_symmetry_space_group_name_H-M 'P 4/m b m'
_symmetry_Int_Tables_number 127
_symmetry_space_group_name_Hall '-P 4 2ab'
loop_
_atom_site_label
_atom_site_type_symbol
_atom_site_fract_x
_atom_site_fract_y
_atom_site_fract_z
Zn1 Zn 0.1226 0.3774 0.0000
In1 In 0.1777 0.6777 0.5000
Sb1 Sb 0.0000 0.0000 0.0000
```

=====

9.
First-principles (meta-GGA SCAN) data for a crystal of LiVTeW2O12 relaxed with PBEsol, as listed in the Alexandria database.

Output
**Total magnetization**: 0.00 μB/atom
**Formation energy without anion corrections**: -2.00 eV/atom

Cell and atoms, written as CIF:
```
data_LiVTeW2O12
_cell_length_a 5.0715
_cell_length_b 5.2707
_cell_length_c 7.3712
_cell_angle_alpha 87.01
_cell_angle_beta 89.80
_cell_angle_gamma 89.54
_symmetry_space_group_name_H-M 'P 1'
_symmetry_Int_Tables_number 1
loop_
_symmetry_equiv_pos_as_xyz
'x,y,z'
loop_
_atom_site_label
_atom_site_type_symbol
_atom_site_fract_x
_atom_site_fract_y
_atom_site_fract_z
Li1 Li 0.0000 0.0000 0.0000
V1 V 0.0003 0.5644 0.8099
Te1 Te 0.4935 0.0286 0.2729
W1 W 0.0002 0.5248 0.3063
W2 W 0.4980 0.0638 0.7651
O1 O 0.0983 0.5319 0.5342
O2 O 0.1828 0.8381 0.2158
O3 O 0.1950 0.2305 0.8334
O4 O 0.2740 0.7430 0.8329
O5 O 0.2958 0.3342 0.2201
O6 O 0.3859 0.0302 0.5234
O7 O 0.6183 0.0266 0.0286
O8 O 0.6907 0.7257 0.3335
O9 O 0.7076 0.3287 0.7299
O10 O 0.7839 0.8195 0.7421
O11 O 0.7987 0.2258 0.3326
O12 O 0.9023 0.5330 0.0298
```

=====

10.
First-principles (meta-GGA SCAN) data for a crystal of LaMoBr2 relaxed with PBEsol, as listed in the Alexandria database.

Output
**Total magnetization**: 0.82 μB/atom
**Relative energy among the computed polymorphs**: 12.5 kJ per mole of atoms
**Formation energy without anion corrections**: -0.17 eV/atom

Cell and atoms, written as CIF:
```
data_LaMoBr2
_cell_length_a 7.0814
_cell_length_b 7.0814
_cell_length_c 7.0814
_cell_angle_alpha 90.00
_cell_angle_beta 90.00
_cell_angle_gamma 90.00
_symmetry_space_group_name_H-M 'F m -3 m'
_symmetry_Int_Tables_number 225
_symmetry_space_group_name_Hall '-F 4 2 3'
loop_
_atom_site_label
_atom_site_type_symbol
_atom_site_fract_x
_atom_site_fract_y
_atom_site_fract_z
La1 La 0.0000 0.0000 0.0000
Mo1 Mo 0.0000 0.0000 0.5000
Br1 Br 0.2500 0.2500 0.2500
```

=====

| no. | N(E_F) (states/eV per atom) |
| --- | --- |
| 1 | 0.54 |
| 2 | 0.37 |
| 3 | 0.70 |
| 4 | 0.54 |
| 5 | 0.23 |
| 6 | 0.58 |
| 7 | 0.00 |
| 8 | 0.36 |
| 9 | 0.00 |
| 10 | 0.43 |